First-principles (PBE-GGA) data for a relaxed TaAlGa2 crystal, as listed in OQMD.

Summary:
energy: -22.4 eV/cell

The structure in POSCAR format:
```
TaAlGa2
1.0
-1.920 1.920 4.289
1.920 -1.920 4.289
1.920 1.920 -4.289
Al Ga Ta
1 2 1
Direct
0.500 0.500 0.000
0.750 0.250 0.500
0.250 0.750 0.500
0.000 0.000 0.000
```